Compound: BaZr2CoF
Source: the Alexandria database
Functional: PBEsol
Structure: relaxed

Volume   100.8 Å³/f.u.
E_form (uncorrected)   -0.10 eV/atom

Structure (CIF):
```
data_BaZr2CoF
_cell_length_a 4.419
_cell_length_b 4.419
_cell_length_c 5.162
_cell_angle_alpha 90.00
_cell_angle_beta 90.00
_cell_angle_gamma 90.00
_space_group_name_H-M_alt 'P 4/m m m'
_space_group_IT_number 123
_space_group_name_Hall '-P 4 2'
loop_
_atom_site_label
_atom_site_type_symbol
_atom_site_fract_x
_atom_site_fract_y
_atom_site_fract_z
Ba1 Ba 0.000 0.000 0.000
Zr1 Zr 0.000 0.500 0.500
Co1 Co 0.500 0.500 0.000
F1 F 0.000 0.000 0.500
```